# 1
An optimized crystal structure of CeICl, computed with GGA-PBE.

## Properties
Space group   No. 187
ΔE_f (raw)   -1.436 eV/atom
Relative energy among the computed polymorphs   111 meV/atom

a = 4.133 Å, b = 5.036 Å, c = 5.036 Å
α = 120.00°, β = 90.00°, γ = 90.00°
Atoms (fractional coordinates):
1 Cl 0.167 0.333 0.667
2 I 0.667 0.667 0.333
3 Ce 0.167 0.000 0.000

=====

# 2
An optimized crystal structure of CuHgMo, computed with GGA-PBE.

## Properties
Space group   No. 156
ΔE_f   1.51 eV per formula unit
Relative energy among the computed polymorphs   81 meV/atom

a = 2.863 Å, b = 2.863 Å, c = 7.008 Å
α = 90.00°, β = 90.00°, γ = 120.00°
Atoms (fractional coordinates):
1 Hg 0.333 0.667 0.323
2 Mo 0.667 0.333 0.687
3 Cu 0.000 0.000 0.990

=====

# 3
An optimized crystal structure of RbOsIN2, computed with GGA-PBE.

## Properties
Space group   No. 123
ΔE_f (raw)   3.095 eV/atom
Relative energy among the computed polymorphs   2315 meV/atom

a = 5.389 Å, b = 5.389 Å, c = 7.298 Å
α = 90.00°, β = 90.00°, γ = 90.00°
Atoms (fractional coordinates):
1 Rb 0.000 0.000 0.000
2 N 0.000 0.500 0.000
3 N 0.500 0.000 0.000
4 I 0.000 0.000 0.500
5 Os 0.500 0.500 0.500

=====

# 4
An optimized crystal structure of Na3PuRh2Se6, computed with GGA-PBE.

## Properties
Space group   No. 12
ΔE_f (raw)   -0.902 eV/atom

a = 6.599 Å, b = 6.599 Å, c = 7.445 Å
α = 98.60°, β = 98.60°, γ = 119.95°
Atoms (fractional coordinates):
1 Na 0.500 0.500 0.500
2 Se 0.930 0.561 0.791
3 Na 0.158 0.842 0.500
4 Se 0.561 0.930 0.791
5 Na 0.842 0.158 0.500
6 Rh 0.667 0.333 0.000
7 Pu 0.000 0.000 0.000
8 Se 0.702 0.702 0.208
9 Se 0.298 0.298 0.792
10 Rh 0.333 0.667 0.000
11 Se 0.439 0.070 0.209
12 Se 0.070 0.439 0.209

=====

# 5
An optimized crystal structure of FeNi2As, computed with GGA-PBE.

## Properties
Space group   No. 44
ΔE_f   -0.22 eV per formula unit

a = 4.462 Å, b = 4.462 Å, c = 4.462 Å
α = 134.45°, β = 129.24°, γ = 70.56°
Atoms (fractional coordinates):
1 Ni 0.264 0.764 0.500
2 As 0.495 0.495 0.000
3 Fe 0.737 0.237 0.500
4 Ni 0.003 0.003 0.000

=====

# 6
An optimized crystal structure of FeCoC, computed with GGA-PBE.

## Properties
Space group   No. 12
ΔE_f   0.71 eV per formula unit

a = 2.637 Å, b = 3.718 Å, c = 5.988 Å
α = 98.83°, β = 90.00°, γ = 110.77°
Atoms (fractional coordinates):
1 C 0.670 0.339 0.189
2 Co 0.876 0.753 0.600
3 Fe 0.629 0.259 0.866
4 Co 0.124 0.247 0.400
5 C 0.330 0.661 0.811
6 Fe 0.371 0.741 0.134

=====

# 7
An optimized crystal structure of Tb8BiSb5, computed with GGA-PBE.

## Properties
Space group   No. 82
ΔE_f (raw)   -0.968 eV/atom

a = 8.022 Å, b = 8.022 Å, c = 8.022 Å
α = 109.40°, β = 109.61°, γ = 109.40°
Atoms (fractional coordinates):
1 Tb 0.483 0.607 0.236
2 Bi 0.250 0.500 0.750
3 Tb 0.269 0.245 0.370
4 Sb 0.003 0.377 0.128
5 Tb 0.976 0.101 0.731
6 Sb 0.500 0.000 0.500
7 Tb 0.630 0.899 0.876
8 Tb 0.123 0.752 0.517
9 Tb 0.629 0.393 0.877
10 Sb 0.872 0.876 0.250
11 Tb 0.764 0.248 0.371
12 Sb 0.750 0.623 0.626
13 Sb 0.374 0.124 0.997
14 Tb 0.124 0.755 0.024

=====

# 8
An optimized crystal structure of LaCr8, computed with GGA-PBE.

## Properties
Space group   No. 139
ΔE_f   4.66 eV per formula unit

a = 5.859 Å, b = 5.859 Å, c = 5.859 Å
α = 97.30°, β = 97.30°, γ = 138.23°
Atoms (fractional coordinates):
1 Cr 0.696 0.304 0.000
2 Cr 0.643 0.000 0.643
3 La 0.000 0.000 0.000
4 Cr 0.304 0.304 0.608
5 Cr 0.000 0.357 0.357
6 Cr 0.304 0.696 0.000
7 Cr 0.696 0.696 0.392
8 Cr 0.000 0.643 0.643
9 Cr 0.357 0.000 0.357

=====

# 9
An optimized crystal structure of NdIn2GaBr6, computed with GGA-PBE.

## Properties
Space group   No. 146
ΔE_f (raw)   -1.121 eV/atom

a = 8.078 Å, b = 8.079 Å, c = 8.334 Å
α = 61.00°, β = 61.00°, γ = 59.99°
Atoms (fractional coordinates):
1 Br 0.449 0.672 0.767
2 Nd 0.321 0.321 0.037
3 Ga 0.814 0.814 0.558
4 Br 0.111 0.449 0.767
5 In 0.527 0.527 0.419
6 Br 0.184 0.981 0.254
7 Br 0.981 0.581 0.254
8 Br 0.672 0.111 0.767
9 In 0.021 0.021 0.936
10 Br 0.581 0.184 0.254

=====

# 10
An optimized crystal structure of TlCo2SiPb, computed with GGA-PBE.

## Properties
Space group   No. 123
ΔE_f (raw)   1.447 eV/atom

a = 5.149 Å, b = 5.149 Å, c = 5.179 Å
α = 90.00°, β = 90.00°, γ = 90.00°
Atoms (fractional coordinates):
1 Pb 0.500 0.500 0.500
2 Si 0.000 0.000 0.500
3 Co 0.500 0.000 0.000
4 Tl 0.000 0.000 0.000
5 Co 0.000 0.500 0.000

=====

# 11
An optimized crystal structure of LiCu, computed with GGA-PBE.

## Properties
Space group   No. 225
ΔE_f   0.66 eV per formula unit

a = 4.900 Å, b = 4.900 Å, c = 4.900 Å
α = 90.00°, β = 90.00°, γ = 90.00°
Atoms (fractional coordinates):
1 Cu 0.000 0.500 0.000
2 Cu 0.500 0.500 0.500
3 Li 0.000 0.500 0.500
4 Li 0.500 0.500 0.000
5 Cu 0.000 0.000 0.500
6 Li 0.000 0.000 0.000
7 Cu 0.500 0.000 0.000
8 Li 0.500 0.000 0.500

=====

# 12
An optimized crystal structure of CeGdOsPt, computed with GGA-PBE.

## Properties
Space group   No. 216
ΔE_f   -2.19 eV per formula unit

a = 4.949 Å, b = 4.949 Å, c = 4.949 Å
α = 60.00°, β = 60.00°, γ = 60.00°
Atoms (fractional coordinates):
1 Os 0.000 0.000 0.000
2 Gd 0.750 0.750 0.750
3 Pt 0.500 0.500 0.500
4 Ce 0.250 0.250 0.250

=====

Listing total moment for the structures above in their given order: 1.7, 0.0, 0.7, 5.0, 3.2, 0.5, 0.0, 0.7, 0.0, 3.2, 0.0, 6.6 μB/f.u..
Listing final energy for the structures above in their given order: -4.5465, -4.5747, -2.9842, -5.3939, -6.2240, -8.0269, -5.3629, -8.5834, -3.4518, -3.6946, -2.6728, -9.8697 eV/atom.